First-principles (GGA-PBE) data for an optimized crystal structure of NaTbHoAl, as listed in Alexandria.

Size of the total moment: 0.0 μB/cell
Crystal system: cubic
Energy relative to the elements: -34 meV per atom
D(E_F): 1.0585 states/eV/atom

a b c (Å): 5.284 5.284 5.284
angles (deg): 60.00 60.00 60.00
Positions (direct):
Na  0.000  0.000  0.000
Tb  0.250  0.250  0.250
Ho  0.750  0.750  0.750
Al  0.500  0.500  0.500